Entry from the Alexandria database: a relaxed FeIr2RuI crystal (PBE).

Values from the calculation:
Its total energy is -0.4294 Ry/atom.

a = 4.581 Å, b = 4.437 Å, c = 4.581 Å
α = 90.00°, β = 90.00°, γ = 90.00°
Fractional positions:
1 I 0.500 0.500 0.500
2 Ru 0.000 0.500 0.000
3 Ir 0.000 0.000 0.500
4 Ir 0.500 0.000 0.000
5 Fe 0.000 0.000 0.000

***

Entry from the Alexandria database: a relaxed BaSrY2 crystal (PBE).

Values from the calculation:
Its total energy is -0.2830 Ry/atom. The value obtained for the energy above the most stable polymorph in this dataset is 143.2 meV/atom. The value obtained for the formation energy is 282.1 meV per atom.

a = 4.241 Å, b = 6.189 Å, c = 6.308 Å
α = 90.00°, β = 90.00°, γ = 90.00°
Fractional positions:
1 Ba 0.500 0.000 0.500
2 Sr 0.000 0.500 0.500
3 Y 0.000 0.000 0.000
4 Y 0.500 0.500 0.000

***

Repeat the first record exactly.
Entry from the Alexandria database: a relaxed FeIr2RuI crystal (PBE).

Values from the calculation:
Its total energy is -0.4294 Ry/atom.

a = 4.581 Å, b = 4.437 Å, c = 4.581 Å
α = 90.00°, β = 90.00°, γ = 90.00°
Fractional positions:
1 I 0.500 0.500 0.500
2 Ru 0.000 0.500 0.000
3 Ir 0.000 0.000 0.500
4 Ir 0.500 0.000 0.000
5 Fe 0.000 0.000 0.000